No. 1
# SnHgTe2N

A geometry-optimized SnHgTe2N structure (PBE, Alexandria via LeMat-Bulk).

a = 5.9827 Å, b = 5.9827 Å, c = 3.9214 Å
α = 90.00°, β = 90.00°, γ = 90.00°
Space group P4/mmm (No. 123)
One atom of each set of equivalent atoms:
Sn 0.0000 0.0000 0.0000 x1
Hg 0.5000 0.5000 0.5000 x1
Te 0.0000 0.5000 0.0000 x2
N 0.0000 0.0000 0.5000 x1

Values from the calculation:
ΔE_f (raw) = 72.2 kJ per mole of atoms
Density = 7.0 Mg/m³
E above lowest polymorph = 0.0 kJ per mole of atoms

---

No. 2
# Tb8YBi6

A geometry-optimized Tb8YBi6 structure (PBE, Alexandria via LeMat-Bulk).

a = 7.6890 Å, b = 7.6890 Å, c = 29.5665 Å
α = 90.00°, β = 90.00°, γ = 120.00°
Space group R-3 (No. 148, hexagonal axes)
One atom of each set of equivalent atoms:
Tb 0.0000 0.0000 0.1667 x6
Tb 0.9999 0.3332 0.2876 x18
Y 0.0000 0.0000 0.5000 x3
Bi 0.0000 0.3331 0.4378 x18

Values from the calculation:
Density = 8.6 Mg/m³
DFT total energy = -4.989 eV per atom

---

No. 3
# La2InP

A geometry-optimized La2InP structure (PBE, Alexandria via LeMat-Bulk).

a = 7.4950 Å, b = 7.4950 Å, c = 7.4950 Å
α = 90.00°, β = 90.00°, γ = 90.00°
Space group F-43m (No. 216)
One atom of each set of equivalent atoms:
La 0.0000 0.0000 0.0000 x4
La 0.2500 0.2500 0.2500 x4
In 0.0000 0.0000 0.5000 x4
P 0.2500 0.2500 0.7500 x4

Values from the calculation:
Density = 6.7 Mg/m³
E above lowest polymorph = 81.1 kJ per mole of atoms

---

No. 4
# Fe2Tc

A geometry-optimized Fe2Tc structure (PBE, Alexandria via LeMat-Bulk).

a = 5.7158 Å, b = 5.7158 Å, c = 4.9145 Å
α = 90.00°, β = 90.00°, γ = 90.00°
Space group I4/mcm (No. 140)
One atom of each set of equivalent atoms:
Fe 0.1376 0.3624 0.0000 x8
Tc 0.0000 0.0000 0.2500 x4

Values from the calculation:
Density = 8.7 Mg/m³
E above lowest polymorph = 46.8 kJ per mole of atoms

---

No. 5
# CdCuPt2

A geometry-optimized CdCuPt2 structure (PBE, Alexandria via LeMat-Bulk).

a = 5.5370 Å, b = 8.8328 Å, c = 2.7969 Å
α = 90.00°, β = 110.61°, γ = 90.00°
Space group C2/m (No. 12)
One atom of each set of equivalent atoms:
Cd 0.0000 0.0000 0.0000 x2
Cu 0.0000 0.5000 0.0000 x2
Pt 0.2500 0.2500 0.5000 x4

Values from the calculation:
Density = 14.7 Mg/m³
DFT total energy = -4.369 eV per atom

---

No. 6
# HgIr2Br

A geometry-optimized HgIr2Br structure (PBE, Alexandria via LeMat-Bulk).

a = 3.0667 Å, b = 4.6307 Å, c = 5.0870 Å
α = 90.00°, β = 91.20°, γ = 90.00°
Space group P2/m (No. 10)
One atom of each set of equivalent atoms:
Hg 0.0000 0.0000 0.0000 x1
Ir 0.2710 0.5000 0.2642 x2
Br 0.5000 0.0000 0.5000 x1

Values from the calculation:
ΔE_f (raw) = 90.0 kJ per mole of atoms
Density = 15.3 Mg/m³
E above lowest polymorph = 49.3 kJ per mole of atoms